[1]
# Ga3PdAu3

A relaxed structure of Ga3PdAu3 (PBE, Alexandria).

Output
Calculated density in g/cm³: 11.317
DFT total energy in eV per atom: -3.682
Energy of formation from the pure elements in eV per atom: -0.2383

```
data_Ga3PdAu3
_chemical_formula_sum 'Ga12 Pd4 Au12'
_cell_length_a 7.9292
_cell_length_b 12.5112
_cell_length_c 5.4203
_cell_angle_alpha 90.00
_cell_angle_beta 98.34
_cell_angle_gamma 90.00
_symmetry_space_group_name_H-M 'C 1 2/m 1'
_symmetry_Int_Tables_number 12
_symmetry_space_group_name_Hall '-C 2y'
loop_
_atom_site_label
_atom_site_type_symbol
_atom_site_fract_x
_atom_site_fract_y
_atom_site_fract_z
Ga1 Ga 0.1425 0.0000 0.3144
Ga2 Ga 0.1688 0.3280 0.2632
Pd1 Pd 0.1885 0.0000 0.8189
Au1 Au 0.0000 0.1751 0.0000
Au2 Au 0.0000 0.1879 0.5000
Au3 Au 0.0462 0.5000 0.7554
```

[2]
# Li2SiPt

A relaxed structure of Li2SiPt (PBE, Alexandria).

Output
Calculated density in g/cm³: 7.109
ΔE_f (raw) in eV per atom: -0.471
DFT total energy in eV per atom: -4.294

```
data_Li2SiPt
_chemical_formula_sum 'Li4 Si2 Pt2'
_cell_length_a 4.9676
_cell_length_b 8.1030
_cell_length_c 2.7514
_cell_angle_alpha 90.00
_cell_angle_beta 90.00
_cell_angle_gamma 90.00
_symmetry_space_group_name_H-M 'C m m m'
_symmetry_Int_Tables_number 65
_symmetry_space_group_name_Hall '-C 2 2'
loop_
_atom_site_label
_atom_site_type_symbol
_atom_site_fract_x
_atom_site_fract_y
_atom_site_fract_z
Li1 Li 0.2500 0.2500 0.0000
Si1 Si 0.0000 0.0000 0.5000
Pt1 Pt 0.0000 0.5000 0.5000
```

[3]
# Pm6Y5Tm2

A relaxed structure of Pm6Y5Tm2 (PBE, Alexandria).

Output
Calculated density in g/cm³: 6.304
DFT total energy in eV per atom: -5.265
Energy of formation from the pure elements in eV per atom: 0.1012

```
data_Pm6Y5Tm2
_chemical_formula_sum 'Pm12 Y10 Tm4'
_cell_length_a 11.6661
_cell_length_b 20.5981
_cell_length_c 3.6229
_cell_angle_alpha 90.00
_cell_angle_beta 90.00
_cell_angle_gamma 90.00
_symmetry_space_group_name_H-M 'P b a m'
_symmetry_Int_Tables_number 55
_symmetry_space_group_name_Hall '-P 2 2ab'
loop_
_atom_site_label
_atom_site_type_symbol
_atom_site_fract_x
_atom_site_fract_y
_atom_site_fract_z
Pm1 Pm 0.0631 0.0797 0.0000
Pm2 Pm 0.0828 0.3664 0.0000
Pm3 Pm 0.1706 0.6369 0.5000
Y1 Y 0.0000 0.5000 0.5000
Y2 Y 0.0918 0.2261 0.5000
Y3 Y 0.1972 0.9435 0.5000
Tm1 Tm 0.1663 0.7899 0.0000
```

[4]
# Sc4Cu2Sn

A relaxed structure of Sc4Cu2Sn (PBE, Alexandria).

Output
Calculated density in g/cm³: 4.511
DFT total energy in eV per atom: -5.476
Energy of formation from the pure elements in eV per atom: -0.1158

```
data_Sc4Cu2Sn
_chemical_formula_sum 'Sc12 Cu6 Sn3'
_cell_length_a 4.5076
_cell_length_b 4.5076
_cell_length_c 26.7100
_cell_angle_alpha 90.00
_cell_angle_beta 90.00
_cell_angle_gamma 120.00
_symmetry_space_group_name_H-M 'R -3 m'
_symmetry_Int_Tables_number 166
_symmetry_space_group_name_Hall '-R 3 2"'
loop_
_atom_site_label
_atom_site_type_symbol
_atom_site_fract_x
_atom_site_fract_y
_atom_site_fract_z
Sc1 Sc 0.0000 0.0000 0.1131
Sc2 Sc 0.0000 0.0000 0.3002
Cu1 Cu 0.0000 0.0000 0.4002
Sn1 Sn 0.0000 0.0000 0.5000
```

[5]
# Pm3Nd4Sc

A relaxed structure of Pm3Nd4Sc (PBE, Alexandria).

Output
Calculated density in g/cm³: 6.432
Offset from the most stable computed form in eV per atom: 0.175
DFT total energy in eV per atom: -4.735
Energy of formation from the pure elements in eV per atom: 0.2214

```
data_Pm3Nd4Sc
_chemical_formula_sum 'Pm6 Nd8 Sc2'
_cell_length_a 25.6847
_cell_length_b 3.4800
_cell_length_c 6.1327
_cell_angle_alpha 90.00
_cell_angle_beta 95.43
_cell_angle_gamma 90.00
_symmetry_space_group_name_H-M 'C 1 2/m 1'
_symmetry_Int_Tables_number 12
_symmetry_space_group_name_Hall '-C 2y'
loop_
_atom_site_label
_atom_site_type_symbol
_atom_site_fract_x
_atom_site_fract_y
_atom_site_fract_z
Pm1 Pm 0.0000 0.0000 0.0000
Pm2 Pm 0.1449 0.0000 0.2320
Nd1 Nd 0.1017 0.0000 0.7160
Nd2 Nd 0.2194 0.5000 0.7384
Sc1 Sc 0.0000 0.5000 0.5000
```

[6]
# NaPrSmMg

A relaxed structure of NaPrSmMg (PBE, Alexandria).

Output
Calculated density in g/cm³: 4.490
DFT total energy in eV per atom: -2.968
Energy of formation from the pure elements in eV per atom: 0.1353

```
data_NaPrSmMg
_chemical_formula_sum 'Na4 Pr4 Sm4 Mg4'
_cell_length_a 7.9413
_cell_length_b 7.9413
_cell_length_c 7.9413
_cell_angle_alpha 90.00
_cell_angle_beta 90.00
_cell_angle_gamma 90.00
_symmetry_space_group_name_H-M 'F -4 3 m'
_symmetry_Int_Tables_number 216
_symmetry_space_group_name_Hall 'F -4 2 3'
loop_
_atom_site_label
_atom_site_type_symbol
_atom_site_fract_x
_atom_site_fract_y
_atom_site_fract_z
Na1 Na 0.0000 0.0000 0.0000
Pr1 Pr 0.2500 0.2500 0.2500
Sm1 Sm 0.2500 0.2500 0.7500
Mg1 Mg 0.0000 0.0000 0.5000
```

[7]
# TiTcBi2Te

A relaxed structure of TiTcBi2Te (PBE, Alexandria).

Output
Calculated density in g/cm³: 6.714
ΔE_f (raw) in eV per atom: 1.481
Offset from the most stable computed form in eV per atom: 1.059
DFT total energy in eV per atom: -4.352

```
data_TiTcBi2Te
_chemical_formula_sum 'Ti1 Tc1 Bi2 Te1'
_cell_length_a 5.8652
_cell_length_b 5.8652
_cell_length_c 4.9707
_cell_angle_alpha 90.00
_cell_angle_beta 90.00
_cell_angle_gamma 90.00
_symmetry_space_group_name_H-M 'P 4/m m m'
_symmetry_Int_Tables_number 123
_symmetry_space_group_name_Hall '-P 4 2'
loop_
_atom_site_label
_atom_site_type_symbol
_atom_site_fract_x
_atom_site_fract_y
_atom_site_fract_z
Ti1 Ti 0.0000 0.0000 0.0000
Tc1 Tc 0.5000 0.5000 0.0000
Bi1 Bi 0.0000 0.5000 0.5000
Te1 Te 0.0000 0.0000 0.5000
```

[8]
# CaDy2Se3

A relaxed structure of CaDy2Se3 (PBE, Alexandria).

Output
Calculated density in g/cm³: 6.806
ΔE_f (raw) in eV per atom: -1.828
DFT total energy in eV per atom: -5.438

```
data_CaDy2Se3
_chemical_formula_sum 'Ca2 Dy4 Se6'
_cell_length_a 4.0848
_cell_length_b 5.7977
_cell_length_c 12.4029
_cell_angle_alpha 90.00
_cell_angle_beta 90.00
_cell_angle_gamma 90.00
_symmetry_space_group_name_H-M 'I m m m'
_symmetry_Int_Tables_number 71
_symmetry_space_group_name_Hall '-I 2 2'
loop_
_atom_site_label
_atom_site_type_symbol
_atom_site_fract_x
_atom_site_fract_y
_atom_site_fract_z
Ca1 Ca 0.0000 0.0000 0.0000
Dy1 Dy 0.0000 0.0000 0.3347
Se1 Se 0.0000 0.5000 0.0000
Se2 Se 0.0000 0.5000 0.3322
```

[9]
# Ca4TaAu

A relaxed structure of Ca4TaAu (PBE, Alexandria).

Output
Calculated density in g/cm³: 5.063
DFT total energy in eV per atom: -2.983
Energy of formation from the pure elements in eV per atom: 0.8734

```
data_Ca4TaAu
_chemical_formula_sum 'Ca16 Ta4 Au4'
_cell_length_a 8.9049
_cell_length_b 8.9049
_cell_length_c 8.9049
_cell_angle_alpha 90.00
_cell_angle_beta 90.00
_cell_angle_gamma 90.00
_symmetry_space_group_name_H-M 'F -4 3 m'
_symmetry_Int_Tables_number 216
_symmetry_space_group_name_Hall 'F -4 2 3'
loop_
_atom_site_label
_atom_site_type_symbol
_atom_site_fract_x
_atom_site_fract_y
_atom_site_fract_z
Ca1 Ca 0.1250 0.1250 0.1250
Ta1 Ta 0.2500 0.2500 0.7500
Au1 Au 0.0000 0.0000 0.5000
```

[10]
# VGaNi4

A relaxed structure of VGaNi4 (PBE, Alexandria).

Output
Calculated density in g/cm³: 8.419
DFT total energy in eV per atom: -6.143
Energy of formation from the pure elements in eV per atom: -0.2641

```
data_VGaNi4
_chemical_formula_sum 'V2 Ga2 Ni8'
_cell_length_a 8.1715
_cell_length_b 3.4400
_cell_length_c 5.2578
_cell_angle_alpha 90.00
_cell_angle_beta 108.44
_cell_angle_gamma 90.00
_symmetry_space_group_name_H-M 'C 1 2/m 1'
_symmetry_Int_Tables_number 12
_symmetry_space_group_name_Hall '-C 2y'
loop_
_atom_site_label
_atom_site_type_symbol
_atom_site_fract_x
_atom_site_fract_y
_atom_site_fract_z
V1 V 0.0000 0.0000 0.0000
Ga1 Ga 0.0000 0.0000 0.5000
Ni1 Ni 0.1616 0.5000 0.3265
Ni2 Ni 0.1675 0.5000 0.8429
```

[11]
# SrRuSe2

A relaxed structure of SrRuSe2 (PBE, Alexandria).

Output
Calculated density in g/cm³: 5.633
ΔE_f (raw) in eV per atom: -0.619
Offset from the most stable computed form in eV per atom: 0.267
DFT total energy in eV per atom: -5.101

```
data_SrRuSe2
_chemical_formula_sum 'Sr1 Ru1 Se2'
_cell_length_a 4.3206
_cell_length_b 4.6932
_cell_length_c 5.0879
_cell_angle_alpha 90.00
_cell_angle_beta 97.98
_cell_angle_gamma 90.00
_symmetry_space_group_name_H-M 'P 1 m 1'
_symmetry_Int_Tables_number 6
_symmetry_space_group_name_Hall 'P -2y'
loop_
_atom_site_label
_atom_site_type_symbol
_atom_site_fract_x
_atom_site_fract_y
_atom_site_fract_z
Sr1 Sr 0.0000 0.0000 0.0000
Ru1 Ru 0.5960 0.5000 0.4217
Se1 Se 0.4374 0.5000 0.9147
Se2 Se 0.6055 0.0000 0.4552
```

[12]
# Cd2TcW

A relaxed structure of Cd2TcW (PBE, Alexandria).

Output
Calculated density in g/cm³: 11.542
Offset from the most stable computed form in eV per atom: 0.056
DFT total energy in eV per atom: -5.973
Energy of formation from the pure elements in eV per atom: 0.3145

```
data_Cd2TcW
_chemical_formula_sum 'Cd4 Tc2 W2'
_cell_length_a 3.1340
_cell_length_b 4.7410
_cell_length_c 9.8115
_cell_angle_alpha 90.00
_cell_angle_beta 90.00
_cell_angle_gamma 90.00
_symmetry_space_group_name_H-M 'C m m 2'
_symmetry_Int_Tables_number 35
_symmetry_space_group_name_Hall 'C 2 -2'
loop_
_atom_site_label
_atom_site_type_symbol
_atom_site_fract_x
_atom_site_fract_y
_atom_site_fract_z
Cd1 Cd 0.0000 0.0000 0.0000
Cd2 Cd 0.0000 0.5000 0.2816
Tc1 Tc 0.0000 0.0000 0.5345
W1 W 0.0000 0.5000 0.7395
```

[13]
# CaNd3Se6

A relaxed structure of CaNd3Se6 (PBE, Alexandria).

Output
Calculated density in g/cm³: 5.414
ΔE_f (raw) in eV per atom: -1.685
DFT total energy in eV per atom: -5.406

```
data_CaNd3Se6
_chemical_formula_sum 'Ca2 Nd6 Se12'
_cell_length_a 7.1818
_cell_length_b 7.8556
_cell_length_c 12.2260
_cell_angle_alpha 90.00
_cell_angle_beta 122.67
_cell_angle_gamma 90.00
_symmetry_space_group_name_H-M 'P 1 21/c 1'
_symmetry_Int_Tables_number 14
_symmetry_space_group_name_Hall '-P 2ybc'
loop_
_atom_site_label
_atom_site_type_symbol
_atom_site_fract_x
_atom_site_fract_y
_atom_site_fract_z
Ca1 Ca 0.0000 0.0000 0.0000
Nd1 Nd 0.1978 0.1036 0.7389
Nd2 Nd 0.5000 0.0000 0.5000
Se1 Se 0.0981 0.1814 0.4264
Se2 Se 0.2341 0.6857 0.4088
Se3 Se 0.4247 0.0785 0.2452
```

[14]
# CsNaSr2Hg

A relaxed structure of CsNaSr2Hg (PBE, Alexandria).

Output
Calculated density in g/cm³: 3.298
Offset from the most stable computed form in eV per atom: 0.000
DFT total energy in eV per atom: -1.249
Energy of formation from the pure elements in eV per atom: -0.0810

```
data_CsNaSr2Hg
_chemical_formula_sum 'Cs1 Na1 Sr2 Hg1'
_cell_length_a 6.4390
_cell_length_b 6.4390
_cell_length_c 6.4580
_cell_angle_alpha 90.00
_cell_angle_beta 90.00
_cell_angle_gamma 90.00
_symmetry_space_group_name_H-M 'P 4/m m m'
_symmetry_Int_Tables_number 123
_symmetry_space_group_name_Hall '-P 4 2'
loop_
_atom_site_label
_atom_site_type_symbol
_atom_site_fract_x
_atom_site_fract_y
_atom_site_fract_z
Cs1 Cs 0.0000 0.0000 0.0000
Na1 Na 0.5000 0.5000 0.0000
Sr1 Sr 0.0000 0.5000 0.5000
Hg1 Hg 0.5000 0.5000 0.5000
```

[15]
# CsRb2Ba2

A relaxed structure of CsRb2Ba2 (PBE, Alexandria).

Output
Calculated density in g/cm³: 2.253
Offset from the most stable computed form in eV per atom: 0.001
DFT total energy in eV per atom: -1.140
Energy of formation from the pure elements in eV per atom: 0.1871

```
data_CsRb2Ba2
_chemical_formula_sum 'Cs2 Rb4 Ba4'
_cell_length_a 13.5353
_cell_length_b 13.5353
_cell_length_c 4.6552
_cell_angle_alpha 90.00
_cell_angle_beta 90.00
_cell_angle_gamma 90.00
_symmetry_space_group_name_H-M 'P 4/m b m'
_symmetry_Int_Tables_number 127
_symmetry_space_group_name_Hall '-P 4 2ab'
loop_
_atom_site_label
_atom_site_type_symbol
_atom_site_fract_x
_atom_site_fract_y
_atom_site_fract_z
Cs1 Cs 0.0000 0.0000 0.0000
Rb1 Rb 0.1782 0.3218 0.0000
Ba1 Ba 0.1139 0.6139 0.5000
```

[16]
# Tb12Tm5Sc

A relaxed structure of Tb12Tm5Sc (PBE, Alexandria).

Output
Calculated density in g/cm³: 8.266
DFT total energy in eV per atom: -4.560
Energy of formation from the pure elements in eV per atom: 0.1210

```
data_Tb12Tm5Sc
_chemical_formula_sum 'Tb24 Tm10 Sc2'
_cell_length_a 11.1243
_cell_length_b 17.4345
_cell_length_c 5.7933
_cell_angle_alpha 90.00
_cell_angle_beta 90.00
_cell_angle_gamma 90.00
_symmetry_space_group_name_H-M 'C m m m'
_symmetry_Int_Tables_number 65
_symmetry_space_group_name_Hall '-C 2 2'
loop_
_atom_site_label
_atom_site_type_symbol
_atom_site_fract_x
_atom_site_fract_y
_atom_site_fract_z
Tb1 Tb 0.1553 0.0000 0.0000
Tb2 Tb 0.1567 0.5000 0.5000
Tb3 Tb 0.1628 0.1586 0.5000
Tb4 Tb 0.1654 0.3372 0.0000
Tm1 Tm 0.0000 0.1718 0.0000
Tm2 Tm 0.0000 0.3273 0.5000
Tm3 Tm 0.0000 0.5000 0.0000
Sc1 Sc 0.0000 0.0000 0.5000
```

[17]
# TiCo2Pt

A relaxed structure of TiCo2Pt (PBE, Alexandria).

Output
Calculated density in g/cm³: 11.355
DFT total energy in eV per atom: -7.329
Energy of formation from the pure elements in eV per atom: -0.2918

```
data_TiCo2Pt
_chemical_formula_sum 'Ti4 Co8 Pt4'
_cell_length_a 5.9540
_cell_length_b 5.9540
_cell_length_c 5.9540
_cell_angle_alpha 90.00
_cell_angle_beta 90.00
_cell_angle_gamma 90.00
_symmetry_space_group_name_H-M 'F m -3 m'
_symmetry_Int_Tables_number 225
_symmetry_space_group_name_Hall '-F 4 2 3'
loop_
_atom_site_label
_atom_site_type_symbol
_atom_site_fract_x
_atom_site_fract_y
_atom_site_fract_z
Ti1 Ti 0.0000 0.0000 0.0000
Co1 Co 0.2500 0.2500 0.2500
Pt1 Pt 0.0000 0.0000 0.5000
```

[18]
# NdErSe2

A relaxed structure of NdErSe2 (PBE, Alexandria).

Output
Calculated density in g/cm³: 7.795
ΔE_f (raw) in eV per atom: -1.775
Offset from the most stable computed form in eV per atom: 0.000
DFT total energy in eV per atom: -5.850

```
data_NdErSe2
_chemical_formula_sum 'Nd3 Er3 Se6'
_cell_length_a 4.0833
_cell_length_b 4.0833
_cell_length_c 20.7764
_cell_angle_alpha 90.00
_cell_angle_beta 90.00
_cell_angle_gamma 120.00
_symmetry_space_group_name_H-M 'R -3 m'
_symmetry_Int_Tables_number 166
_symmetry_space_group_name_Hall '-R 3 2"'
loop_
_atom_site_label
_atom_site_type_symbol
_atom_site_fract_x
_atom_site_fract_y
_atom_site_fract_z
Nd1 Nd 0.0000 0.0000 0.0000
Er1 Er 0.0000 0.0000 0.5000
Se1 Se 0.0000 0.0000 0.2438
```

[19]
# Hf2BeAlGe

A relaxed structure of Hf2BeAlGe (PBE, Alexandria).

Output
Calculated density in g/cm³: 7.553
DFT total energy in eV per atom: -6.001
Energy of formation from the pure elements in eV per atom: 0.3976

```
data_Hf2BeAlGe
_chemical_formula_sum 'Hf2 Be1 Al1 Ge1'
_cell_length_a 5.0381
_cell_length_b 5.0381
_cell_length_c 4.0328
_cell_angle_alpha 90.00
_cell_angle_beta 90.00
_cell_angle_gamma 90.00
_symmetry_space_group_name_H-M 'P 4/m m m'
_symmetry_Int_Tables_number 123
_symmetry_space_group_name_Hall '-P 4 2'
loop_
_atom_site_label
_atom_site_type_symbol
_atom_site_fract_x
_atom_site_fract_y
_atom_site_fract_z
Hf1 Hf 0.0000 0.5000 0.0000
Be1 Be 0.0000 0.0000 0.5000
Al1 Al 0.5000 0.5000 0.5000
Ge1 Ge 0.0000 0.0000 0.0000
```

[20]
# TaZnTe2

A relaxed structure of TaZnTe2 (PBE, Alexandria).

Output
Calculated density in g/cm³: 8.277
ΔE_f (raw) in eV per atom: 0.636
DFT total energy in eV per atom: -4.217

```
data_TaZnTe2
_chemical_formula_sum 'Ta3 Zn3 Te6'
_cell_length_a 3.6009
_cell_length_b 3.6009
_cell_length_c 26.8817
_cell_angle_alpha 90.00
_cell_angle_beta 90.00
_cell_angle_gamma 120.00
_symmetry_space_group_name_H-M 'R -3 m'
_symmetry_Int_Tables_number 166
_symmetry_space_group_name_Hall '-R 3 2"'
loop_
_atom_site_label
_atom_site_type_symbol
_atom_site_fract_x
_atom_site_fract_y
_atom_site_fract_z
Ta1 Ta 0.0000 0.0000 0.0000
Zn1 Zn 0.0000 0.0000 0.5000
Te1 Te 0.0000 0.0000 0.0994
```